# Na4Cu2C4SO16 (GGA-PBEsol, optimized geometry)
# **Uncorrected energy**: -6.566 eV per atom
# **Raw formation energy**: -129 kJ/mol of atoms
# **DOS(E_F)**: 9.01 states/eV/f.u.
data_Na4Cu2C4SO16
_symmetry_space_group_name_H-M 'P 1'
_symmetry_Int_Tables_number 1
_cell_length_a 9.734
_cell_length_b 9.721
_cell_length_c 9.621
_cell_angle_alpha 60.43
_cell_angle_beta 60.29
_cell_angle_gamma 59.28
loop_
_symmetry_equiv_pos_as_xyz
'x,y,z'
loop_
_atom_site_label
_atom_site_type_symbol
_atom_site_fract_x
_atom_site_fract_y
_atom_site_fract_z
Na1 Na 0.086 0.664 0.086
Na2 Na 0.086 0.664 0.664
Na3 Na 0.336 0.914 0.336
Na4 Na 0.336 0.914 0.914
Na5 Na 0.664 0.086 0.086
Na6 Na 0.664 0.086 0.664
Na7 Na 0.914 0.336 0.336
Na8 Na 0.914 0.336 0.914
Cu1 Cu 0.000 0.500 0.500
Cu2 Cu 0.500 0.000 0.500
Cu3 Cu 0.500 0.500 0.000
Cu4 Cu 0.500 0.500 0.500
C1 C 0.285 0.640 0.288
C2 C 0.288 0.288 0.285
C3 C 0.288 0.288 0.640
C4 C 0.360 0.715 0.712
C5 C 0.640 0.285 0.288
C6 C 0.712 0.712 0.360
C7 C 0.712 0.712 0.715
C8 C 0.715 0.360 0.712
S1 S 0.125 0.125 0.125
S2 S 0.875 0.875 0.875
O1 O 0.058 0.313 0.064
O2 O 0.064 0.065 0.058
O3 O 0.065 0.064 0.313
O4 O 0.141 0.408 0.304
O5 O 0.143 0.308 0.646
O6 O 0.146 0.635 0.410
O7 O 0.304 0.648 0.141
O8 O 0.308 0.143 0.403
O9 O 0.309 0.410 0.635
O10 O 0.313 0.058 0.065
O11 O 0.352 0.696 0.592
O12 O 0.354 0.597 0.857
O13 O 0.365 0.854 0.691
O14 O 0.403 0.646 0.308
O15 O 0.408 0.141 0.648
O16 O 0.410 0.309 0.146
O17 O 0.590 0.691 0.854
O18 O 0.592 0.859 0.352
O19 O 0.597 0.354 0.692
O20 O 0.635 0.146 0.309
O21 O 0.646 0.403 0.143
O22 O 0.648 0.304 0.408
O23 O 0.687 0.942 0.935
O24 O 0.691 0.590 0.365
O25 O 0.692 0.857 0.597
O26 O 0.696 0.352 0.859
O27 O 0.854 0.365 0.590
O28 O 0.857 0.692 0.354
O29 O 0.859 0.592 0.696
O30 O 0.935 0.936 0.687
O31 O 0.936 0.935 0.942
O32 O 0.942 0.687 0.936


# NaCu2CSe (GGA-PBEsol, optimized geometry)
# **Uncorrected energy**: -3.459 eV per atom
# **Raw formation energy**: 121 kJ/mol of atoms
# **DOS(E_F)**: 2.24 states/eV/f.u.
data_NaCu2CSe
_symmetry_space_group_name_H-M 'P 1'
_symmetry_Int_Tables_number 1
_cell_length_a 4.589
_cell_length_b 4.589
_cell_length_c 4.074
_cell_angle_alpha 90.00
_cell_angle_beta 90.00
_cell_angle_gamma 90.00
loop_
_symmetry_equiv_pos_as_xyz
'x,y,z'
loop_
_atom_site_label
_atom_site_type_symbol
_atom_site_fract_x
_atom_site_fract_y
_atom_site_fract_z
Na1 Na 0.000 0.000 0.000
Cu1 Cu 0.000 0.500 0.500
Cu2 Cu 0.500 0.000 0.500
C1 C 0.500 0.500 0.000
Se1 Se 0.500 0.500 0.500


# NaTiCuC2 (GGA-PBEsol, optimized geometry)
# **Uncorrected energy**: -3.657 eV per atom
# **Formation energy from the elements**: 3.01 eV/atom
# **DOS(E_F)**: 3.60 states/eV/f.u.
data_NaTiCuC2
_symmetry_space_group_name_H-M 'P 1'
_symmetry_Int_Tables_number 1
_cell_length_a 4.074
_cell_length_b 4.074
_cell_length_c 4.153
_cell_angle_alpha 90.00
_cell_angle_beta 90.00
_cell_angle_gamma 90.00
loop_
_symmetry_equiv_pos_as_xyz
'x,y,z'
loop_
_atom_site_label
_atom_site_type_symbol
_atom_site_fract_x
_atom_site_fract_y
_atom_site_fract_z
Na1 Na 0.000 0.000 0.000
Ti1 Ti 0.000 0.000 0.500
Cu1 Cu 0.500 0.500 0.500
C1 C 0.000 0.500 0.000
C2 C 0.500 0.000 0.000


# NbCuC3 (GGA-PBEsol, optimized geometry)
# **Uncorrected energy**: -6.523 eV per atom
# **Formation energy from the elements**: 2.29 eV/atom
# **DOS(E_F)**: 2.23 states/eV/f.u.
data_NbCuC3
_symmetry_space_group_name_H-M 'P 1'
_symmetry_Int_Tables_number 1
_cell_length_a 4.138
_cell_length_b 4.138
_cell_length_c 4.138
_cell_angle_alpha 90.00
_cell_angle_beta 90.00
_cell_angle_gamma 90.00
loop_
_symmetry_equiv_pos_as_xyz
'x,y,z'
loop_
_atom_site_label
_atom_site_type_symbol
_atom_site_fract_x
_atom_site_fract_y
_atom_site_fract_z
Nb1 Nb 0.000 0.000 0.000
Cu1 Cu 0.500 0.500 0.500
C1 C 0.000 0.000 0.500
C2 C 0.000 0.500 0.000
C3 C 0.500 0.000 0.000


# NdCuPbC3O11 (GGA-PBEsol, optimized geometry)
# **Uncorrected energy**: -7.256 eV per atom
# **Raw formation energy**: -132 kJ/mol of atoms
# **DOS(E_F)**: 1.89 states/eV/f.u.
data_NdCuPbC3O11
_symmetry_space_group_name_H-M 'P 1'
_symmetry_Int_Tables_number 1
_cell_length_a 6.433
_cell_length_b 19.164
_cell_length_c 7.464
_cell_angle_alpha 90.00
_cell_angle_beta 90.00
_cell_angle_gamma 90.00
loop_
_symmetry_equiv_pos_as_xyz
'x,y,z'
loop_
_atom_site_label
_atom_site_type_symbol
_atom_site_fract_x
_atom_site_fract_y
_atom_site_fract_z
Nd1 Nd 0.055 0.192 0.000
Nd2 Nd 0.445 0.692 0.500
Nd3 Nd 0.555 0.308 0.000
Nd4 Nd 0.945 0.808 0.500
Cu1 Cu 0.238 0.564 0.206
Cu2 Cu 0.262 0.064 0.706
Cu3 Cu 0.738 0.936 0.206
Cu4 Cu 0.762 0.436 0.706
Pb1 Pb 0.147 0.857 0.998
Pb2 Pb 0.353 0.357 0.498
Pb3 Pb 0.647 0.643 0.998
Pb4 Pb 0.853 0.143 0.498
C1 C 0.008 0.958 0.575
C2 C 0.054 0.339 0.838
C3 C 0.228 0.719 0.832
C4 C 0.272 0.219 0.332
C5 C 0.446 0.839 0.338
C6 C 0.492 0.458 0.075
C7 C 0.508 0.542 0.575
C8 C 0.554 0.161 0.838
C9 C 0.728 0.781 0.832
C10 C 0.772 0.281 0.332
C11 C 0.946 0.661 0.338
C12 C 0.992 0.042 0.075
O1 O 0.022 0.394 0.741
O2 O 0.025 0.025 0.610
O3 O 0.076 0.686 0.449
O4 O 0.118 0.483 0.227
O5 O 0.122 0.145 0.707
O6 O 0.127 0.731 0.976
O7 O 0.154 0.914 0.610
O8 O 0.161 0.063 0.006
O9 O 0.167 0.162 0.305
O10 O 0.230 0.308 0.816
O11 O 0.233 0.766 0.703
O12 O 0.267 0.266 0.203
O13 O 0.270 0.808 0.316
O14 O 0.333 0.662 0.805
O15 O 0.339 0.563 0.506
O16 O 0.346 0.414 0.110
O17 O 0.373 0.231 0.476
O18 O 0.378 0.645 0.207
O19 O 0.382 0.983 0.727
O20 O 0.424 0.186 0.949
O21 O 0.475 0.525 0.110
O22 O 0.478 0.894 0.241
O23 O 0.522 0.106 0.741
O24 O 0.525 0.475 0.610
O25 O 0.576 0.814 0.449
O26 O 0.618 0.017 0.227
O27 O 0.622 0.355 0.707
O28 O 0.627 0.769 0.976
O29 O 0.654 0.586 0.610
O30 O 0.661 0.437 0.006
O31 O 0.667 0.338 0.305
O32 O 0.730 0.192 0.816
O33 O 0.733 0.734 0.703
O34 O 0.767 0.234 0.203
O35 O 0.770 0.692 0.316
O36 O 0.833 0.838 0.805
O37 O 0.839 0.937 0.506
O38 O 0.846 0.086 0.110
O39 O 0.873 0.269 0.476
O40 O 0.878 0.855 0.207
O41 O 0.882 0.517 0.727
O42 O 0.924 0.314 0.949
O43 O 0.975 0.975 0.110
O44 O 0.978 0.606 0.241


# CuNiC3 (GGA-PBEsol, optimized geometry)
# **Uncorrected energy**: -5.102 eV per atom
# **Formation energy from the elements**: 2.78 eV/atom
# **DOS(E_F)**: 2.14 states/eV/f.u.
data_CuNiC3
_symmetry_space_group_name_H-M 'P 1'
_symmetry_Int_Tables_number 1
_cell_length_a 3.713
_cell_length_b 3.713
_cell_length_c 3.713
_cell_angle_alpha 90.00
_cell_angle_beta 90.00
_cell_angle_gamma 90.00
loop_
_symmetry_equiv_pos_as_xyz
'x,y,z'
loop_
_atom_site_label
_atom_site_type_symbol
_atom_site_fract_x
_atom_site_fract_y
_atom_site_fract_z
Cu1 Cu 0.000 0.000 0.000
Ni1 Ni 0.500 0.500 0.500
C1 C 0.000 0.000 0.500
C2 C 0.000 0.500 0.000
C3 C 0.500 0.000 0.000


# Cu3C2O8 (GGA-PBEsol, optimized geometry)
# **Uncorrected energy**: -6.600 eV per atom
# **Raw formation energy**: -85 kJ/mol of atoms
# **DOS(E_F)**: 4.76 states/eV/f.u.
data_Cu3C2O8
_symmetry_space_group_name_H-M 'P 1'
_symmetry_Int_Tables_number 1
_cell_length_a 4.981
_cell_length_b 5.584
_cell_length_c 10.401
_cell_angle_alpha 90.00
_cell_angle_beta 94.97
_cell_angle_gamma 90.00
loop_
_symmetry_equiv_pos_as_xyz
'x,y,z'
loop_
_atom_site_label
_atom_site_type_symbol
_atom_site_fract_x
_atom_site_fract_y
_atom_site_fract_z
Cu1 Cu 0.000 0.000 0.000
Cu2 Cu 0.000 0.500 0.500
Cu3 Cu 0.243 0.003 0.582
Cu4 Cu 0.243 0.497 0.082
Cu5 Cu 0.757 0.503 0.918
Cu6 Cu 0.757 0.997 0.418
C1 C 0.328 0.687 0.320
C2 C 0.328 0.813 0.820
C3 C 0.672 0.187 0.180
C4 C 0.672 0.313 0.680
O1 O 0.056 0.184 0.457
O2 O 0.056 0.316 0.957
O3 O 0.106 0.575 0.336
O4 O 0.106 0.925 0.836
O5 O 0.409 0.703 0.207
O6 O 0.409 0.797 0.707
O7 O 0.466 0.719 0.918
O8 O 0.466 0.781 0.418
O9 O 0.534 0.219 0.582
O10 O 0.534 0.281 0.082
O11 O 0.591 0.203 0.293
O12 O 0.591 0.297 0.793
O13 O 0.894 0.075 0.164
O14 O 0.894 0.425 0.664
O15 O 0.944 0.684 0.043
O16 O 0.944 0.816 0.543


# Sr8Y4Cu11CO28 (GGA-PBEsol, optimized geometry)
# **Uncorrected energy**: -6.705 eV per atom
# **Raw formation energy**: -190 kJ/mol of atoms
# **DOS(E_F)**: 10.87 states/eV/f.u.
data_Sr8Y4Cu11CO28
_symmetry_space_group_name_H-M 'P 1'
_symmetry_Int_Tables_number 1
_cell_length_a 3.820
_cell_length_b 13.418
_cell_length_c 13.418
_cell_angle_alpha 111.76
_cell_angle_beta 90.00
_cell_angle_gamma 90.00
loop_
_symmetry_equiv_pos_as_xyz
'x,y,z'
loop_
_atom_site_label
_atom_site_type_symbol
_atom_site_fract_x
_atom_site_fract_y
_atom_site_fract_z
Sr1 Sr 0.000 0.087 0.913
Sr2 Sr 0.000 0.212 0.396
Sr3 Sr 0.000 0.396 0.212
Sr4 Sr 0.000 0.443 0.628
Sr5 Sr 0.000 0.628 0.443
Sr6 Sr 0.000 0.675 0.860
Sr7 Sr 0.000 0.860 0.675
Sr8 Sr 0.000 0.913 0.087
Y1 Y 0.000 0.033 0.524
Y2 Y 0.000 0.272 0.788
Y3 Y 0.000 0.524 0.033
Y4 Y 0.000 0.788 0.272
Cu1 Cu 0.500 0.076 0.723
Cu2 Cu 0.500 0.230 0.588
Cu3 Cu 0.500 0.325 0.985
Cu4 Cu 0.500 0.418 0.418
Cu5 Cu 0.500 0.471 0.835
Cu6 Cu 0.500 0.588 0.230
Cu7 Cu 0.500 0.651 0.651
Cu8 Cu 0.500 0.723 0.076
Cu9 Cu 0.500 0.835 0.471
Cu10 Cu 0.500 0.881 0.881
Cu11 Cu 0.500 0.985 0.325
C1 C 0.500 0.155 0.155
O1 O 0.000 0.086 0.716
O2 O 0.000 0.221 0.595
O3 O 0.000 0.333 0.978
O4 O 0.000 0.407 0.407
O5 O 0.000 0.462 0.843
O6 O 0.000 0.595 0.221
O7 O 0.000 0.649 0.649
O8 O 0.000 0.716 0.086
O9 O 0.000 0.843 0.462
O10 O 0.000 0.887 0.887
O11 O 0.000 0.978 0.333
O12 O 0.500 0.068 0.068
O13 O 0.500 0.103 0.459
O14 O 0.500 0.147 0.248
O15 O 0.500 0.199 0.858
O16 O 0.500 0.248 0.147
O17 O 0.500 0.330 0.731
O18 O 0.500 0.336 0.504
O19 O 0.500 0.459 0.103
O20 O 0.500 0.504 0.336
O21 O 0.500 0.567 0.736
O22 O 0.500 0.582 0.972
O23 O 0.500 0.731 0.330
O24 O 0.500 0.736 0.567
O25 O 0.500 0.803 0.969
O26 O 0.500 0.858 0.199
O27 O 0.500 0.969 0.803
O28 O 0.500 0.972 0.582


# CuOs3C (GGA-PBEsol, optimized geometry)
# **Uncorrected energy**: -6.494 eV per atom
# **Formation energy from the elements**: 3.63 eV/atom
# **DOS(E_F)**: 7.40 states/eV/f.u.
data_CuOs3C
_symmetry_space_group_name_H-M 'P 1'
_symmetry_Int_Tables_number 1
_cell_length_a 4.369
_cell_length_b 4.369
_cell_length_c 4.369
_cell_angle_alpha 90.00
_cell_angle_beta 90.00
_cell_angle_gamma 90.00
loop_
_symmetry_equiv_pos_as_xyz
'x,y,z'
loop_
_atom_site_label
_atom_site_type_symbol
_atom_site_fract_x
_atom_site_fract_y
_atom_site_fract_z
Cu1 Cu 0.000 0.000 0.000
Os1 Os 0.000 0.000 0.500
Os2 Os 0.000 0.500 0.000
Os3 Os 0.500 0.000 0.000
C1 C 0.500 0.500 0.500